[1]
The following is a DFT calculation (PBE) of Sc2TiMn2 after structural relaxation.

Lattice parameters (Å, degrees): 6.3696 6.3696 4.2720 90.00 90.00 90.00
Atoms (fractional coordinates):
Sc  0.1748  0.3252  0.0000
Sc  0.3252  0.8252  0.0000
Sc  0.6748  0.1748  0.0000
Sc  0.8252  0.6748  0.0000
Ti  0.0000  0.0000  0.5000
Ti  0.5000  0.5000  0.5000
Mn  0.1222  0.6222  0.5000
Mn  0.3778  0.1222  0.5000
Mn  0.6222  0.8778  0.5000
Mn  0.8778  0.3778  0.5000

Results
* SG: P4/mbm
* ρ: 4.75 g/cm3
* DOS(E_F): 1.1641 states/eV/atom
* volume: 17.332 Å³/atom
* formation energy: 0.064 eV per atom
* total DFT energy (no corrections): -7.716 eV per atom

=====

[2]
The following is a DFT calculation (PBE) of Sc2TiMn after structural relaxation.

Lattice parameters (Å, degrees): 4.6541 4.6541 4.6541 60.00 60.00 60.00
Atoms (fractional coordinates):
Sc  0.2500  0.2500  0.2500
Sc  0.7500  0.7500  0.7500
Ti  0.0000  0.0000  0.0000
Mn  0.5000  0.5000  0.5000

Results
* SG: Fm-3m
* ρ: 4.49 g/cm3
* DOS(E_F): 2.9015 states/eV/atom
* volume: 17.820 Å³/atom
* formation energy: 0.317 eV per atom
* total DFT energy (no corrections): -7.115 eV per atom

=====

For each record above, in turn, the calculated total magnetic moment values are 0.45, 0.00 μB per atom.